Here is crystalline LiNiAu2 at its relaxed geometry from Alexandria via LeMat-Bulk. Energies are from PBEsol.

Geometry as POSCAR:
```
LiNiAu2
1.0
4.337 0.000 0.000
2.169 3.756 0.000
2.169 1.252 3.542
Au Ni Li
2 1 1
direct
0.750 0.750 0.750
0.000 0.000 0.000
0.250 0.250 0.250
0.500 0.500 0.500
```

Results
Energy of formation from the pure elements = -0.085 eV per atom
Mass density = 13.2 g/cm³
DOS(E_F) = 1.587 states/eV/cell